Entry 1:
The following is a DFT calculation (PBE-GGA) of crystalline SrMg4Cd2Ag at its relaxed geometry.

Output
VASP energy: -1.73 eV/atom
DOS at the Fermi energy: 0.40 states/eV per atom
Energy of formation from the pure elements: -0.1415 eV per atom

Unit cell a=10.0944 b=10.0944 c=10.0944 alpha=27.93 beta=27.93 gamma=27.93
Element x y z (fractional)
Sr: 0.0000 0.0000 0.0000
Mg: 0.1357 0.1357 0.1357
Mg: 0.4067 0.4067 0.4067
Mg: 0.5933 0.5933 0.5933
Mg: 0.8643 0.8643 0.8643
Cd: 0.2500 0.2500 0.2500
Cd: 0.7500 0.7500 0.7500
Ag: 0.5000 0.5000 0.5000

---

Entry 2:
The following is a DFT calculation (PBE-GGA) of crystalline Mg2TaCdAg at its relaxed geometry.

Output
VASP energy: -2.54 eV/atom
DOS at the Fermi energy: 0.71 states/eV per atom
Energy of formation from the pure elements: 1.2245 eV per atom

Unit cell a=4.9759 b=4.9759 c=5.0065 alpha=90.00 beta=90.00 gamma=90.00
Element x y z (fractional)
Mg: 0.0000 0.5000 0.0000
Mg: 0.5000 0.0000 0.0000
Ta: 0.0000 0.0000 0.5000
Cd: 0.5000 0.5000 0.0000
Ag: 0.5000 0.5000 0.5000

---

Entry 3:
The following is a DFT calculation (PBE-GGA) of crystalline TbMg2Cd2Ag2 at its relaxed geometry.

Output
VASP energy: -2.38 eV/atom
DOS at the Fermi energy: 0.46 states/eV per atom
Energy of formation from the pure elements: -0.1897 eV per atom

Unit cell a=7.8912 b=7.8912 c=7.8912 alpha=36.08 beta=36.08 gamma=36.08
Element x y z (fractional)
Tb: 0.0000 0.0000 0.0000
Mg: 0.1414 0.1414 0.1414
Mg: 0.8586 0.8586 0.8586
Cd: 0.4153 0.4153 0.4153
Cd: 0.5847 0.5847 0.5847
Ag: 0.2667 0.2667 0.2667
Ag: 0.7333 0.7333 0.7333

---

Entry 4:
The following is a DFT calculation (PBE-GGA) of crystalline Tb4MgCd2Ag at its relaxed geometry.

Output
VASP energy: -3.36 eV/atom
DOS at the Fermi energy: 0.86 states/eV per atom
Energy of formation from the pure elements: -0.2639 eV per atom

Unit cell a=9.1488 b=9.1488 c=9.1488 alpha=33.60 beta=33.60 gamma=33.60
Element x y z (fractional)
Tb: 0.1207 0.1207 0.1207
Tb: 0.3720 0.3720 0.3720
Tb: 0.6280 0.6280 0.6280
Tb: 0.8793 0.8793 0.8793
Mg: 0.5000 0.5000 0.5000
Cd: 0.2435 0.2435 0.2435
Cd: 0.7565 0.7565 0.7565
Ag: 0.0000 0.0000 0.0000

---

Entry 5:
The following is a DFT calculation (PBE-GGA) of crystalline TbMgCdAg at its relaxed geometry.

Output
VASP energy: -2.81 eV/atom
DOS at the Fermi energy: 0.39 states/eV per atom
Energy of formation from the pure elements: -0.3129 eV per atom

Unit cell a=5.0257 b=5.0257 c=5.0257 alpha=60.00 beta=60.00 gamma=60.00
Element x y z (fractional)
Tb: 0.0000 0.0000 0.0000
Mg: 0.5000 0.5000 0.5000
Cd: 0.2500 0.2500 0.2500
Ag: 0.7500 0.7500 0.7500

---

Entry 6:
The following is a DFT calculation (PBE-GGA) of crystalline MgCd2TcAg at its relaxed geometry.

Output
VASP energy: -2.41 eV/atom
DOS at the Fermi energy: 0.99 states/eV per atom
Energy of formation from the pure elements: 0.9142 eV per atom

Unit cell a=5.2154 b=5.2154 c=5.0437 alpha=90.00 beta=90.00 gamma=90.00
Element x y z (fractional)
Mg: 0.0000 0.0000 0.0000
Cd: 0.0000 0.5000 0.5000
Cd: 0.5000 0.0000 0.5000
Tc: 0.0000 0.0000 0.5000
Ag: 0.5000 0.5000 0.0000

---

Entry 7:
The following is a DFT calculation (PBE-GGA) of crystalline ThMgCdAg at its relaxed geometry.

Output
VASP energy: -3.34 eV/atom
DOS at the Fermi energy: 0.52 states/eV per atom
Energy of formation from the pure elements: -0.1496 eV per atom

Unit cell a=5.1437 b=5.1437 c=5.1437 alpha=60.00 beta=60.00 gamma=60.00
Element x y z (fractional)
Th: 0.0000 0.0000 0.0000
Mg: 0.5000 0.5000 0.5000
Cd: 0.2500 0.2500 0.2500
Ag: 0.7500 0.7500 0.7500

---

Entry 8:
The following is a DFT calculation (PBE-GGA) of crystalline ThMgCd5Ag2 at its relaxed geometry.

Output
VASP energy: -2.04 eV/atom
DOS at the Fermi energy: 0.57 states/eV per atom
Energy of formation from the pure elements: 0.0994 eV per atom

Unit cell a=5.1952 b=5.1952 c=8.1509 alpha=90.00 beta=90.00 gamma=90.00
Element x y z (fractional)
Th: 0.0000 0.0000 0.0000
Mg: 0.0000 0.0000 0.5000
Cd: 0.0000 0.5000 0.2495
Cd: 0.0000 0.5000 0.7505
Cd: 0.5000 0.0000 0.2495
Cd: 0.5000 0.0000 0.7505
Cd: 0.5000 0.5000 0.0000
Ag: 0.5000 0.5000 0.3410
Ag: 0.5000 0.5000 0.6590

---

Entry 9:
The following is a DFT calculation (PBE-GGA) of crystalline MgTiCdAg at its relaxed geometry.

Output
VASP energy: -3.32 eV/atom
DOS at the Fermi energy: 0.64 states/eV per atom
Energy of formation from the pure elements: -0.0099 eV per atom

Unit cell a=4.7265 b=4.7265 c=4.7265 alpha=60.00 beta=60.00 gamma=60.00
Element x y z (fractional)
Mg: 0.0000 0.0000 0.0000
Ti: 0.5000 0.5000 0.5000
Cd: 0.2500 0.2500 0.2500
Ag: 0.7500 0.7500 0.7500

---

Entry 10:
The following is a DFT calculation (PBE-GGA) of crystalline MgTlCdAg at its relaxed geometry.

Output
VASP energy: -1.91 eV/atom
DOS at the Fermi energy: 0.42 states/eV per atom
Energy of formation from the pure elements: 0.0235 eV per atom

Unit cell a=5.0118 b=5.0118 c=5.0118 alpha=60.00 beta=60.00 gamma=60.00
Element x y z (fractional)
Mg: 0.0000 0.0000 0.0000
Tl: 0.2500 0.2500 0.2500
Cd: 0.5000 0.5000 0.5000
Ag: 0.7500 0.7500 0.7500

---

Entry 11:
The following is a DFT calculation (PBE-GGA) of crystalline Mg5TlCd2Ag2 at its relaxed geometry.

Output
VASP energy: -1.85 eV/atom
DOS at the Fermi energy: 0.35 states/eV per atom
Energy of formation from the pure elements: -0.0628 eV per atom

Unit cell a=10.2696 b=10.2696 c=4.2196 alpha=90.00 beta=90.00 gamma=90.00
Element x y z (fractional)
Mg: 0.0000 0.5000 0.0000
Mg: 0.0823 0.2024 0.0000
Mg: 0.2024 0.9177 0.0000
Mg: 0.2976 0.4177 0.0000
Mg: 0.4177 0.7024 0.0000
Mg: 0.5000 0.0000 0.0000
Mg: 0.5823 0.2976 0.0000
Mg: 0.7024 0.5823 0.0000
Mg: 0.7976 0.0823 0.0000
Mg: 0.9177 0.7976 0.0000
Tl: 0.0000 0.0000 0.5000
Tl: 0.5000 0.5000 0.5000
Cd: 0.1716 0.6716 0.5000
Cd: 0.3284 0.1716 0.5000
Cd: 0.6716 0.8284 0.5000
Cd: 0.8284 0.3284 0.5000
Ag: 0.1243 0.3757 0.5000
Ag: 0.3757 0.8757 0.5000
Ag: 0.6243 0.1243 0.5000
Ag: 0.8757 0.6243 0.5000

---

Entry 12:
The following is a DFT calculation (PBE-GGA) of crystalline TmMg2Cd2Ag2 at its relaxed geometry.

Output
VASP energy: -2.34 eV/atom
DOS at the Fermi energy: 0.48 states/eV per atom
Energy of formation from the pure elements: -0.1722 eV per atom

Unit cell a=7.8029 b=7.8029 c=7.8029 alpha=36.34 beta=36.34 gamma=36.34
Element x y z (fractional)
Tm: 0.0000 0.0000 0.0000
Mg: 0.1421 0.1421 0.1421
Mg: 0.8579 0.8579 0.8579
Cd: 0.4160 0.4160 0.4160
Cd: 0.5840 0.5840 0.5840
Ag: 0.2695 0.2695 0.2695
Ag: 0.7305 0.7305 0.7305